The following is a DFT calculation (GGA-PBE) of crystalline SnPb2Au at its relaxed geometry.

Cell: 3.5472 3.5472 8.6069 Å, 90.00 90.00 90.00°
Fractional coordinates of all 4 atoms:
1 Pb 0.0000 0.0000 0.7828
2 Pb 0.0000 0.0000 0.2172
3 Au 0.5000 0.5000 0.0000
4 Sn 0.5000 0.5000 0.5000

Calculated values
Energy of formation ... -0.019 eV per atom
Space group ... P4/mmm (123)
DFT total energy ... -3.6935 eV/atom
Total moment ... 0.000 μB/atom